i:
Compound: AgSbCl2
Source: Alexandria via LeMat-Bulk
Functional: PBE
Structure: relaxed

abc: 5.987 5.987 6.103
angles: 98.81 98.81 34.11
Positions (direct):
Ag 0.000 0.000 0.000
Sb 0.668 0.668 0.209
Cl 0.342 0.342 0.888
Cl 0.564 0.564 0.523

Properties
Crystal system   monoclinic

ii:
Compound: AgSbCl2
Source: Alexandria via LeMat-Bulk
Functional: PBE
Structure: relaxed

abc: 7.231 7.231 7.231
angles: 148.04 148.04 45.82
Positions (direct):
Ag 0.000 0.000 0.000
Sb 0.750 0.250 0.500
Cl 0.250 0.750 0.500
Cl 0.500 0.500 0.000

Properties
Density of states at the Fermi level   2.6 states/eV per cell
Crystal system   tetragonal

iii:
Compound: AgSbCl2
Source: Alexandria via LeMat-Bulk
Functional: PBE
Structure: relaxed

abc: 7.587 7.587 7.587
angles: 152.82 143.19 46.36
Positions (direct):
Ag 0.000 0.000 0.000
Sb 0.500 0.500 0.000
Cl 0.348 0.848 0.500
Cl 0.652 0.152 0.500

Properties
Density of states at the Fermi level   1.2 states/eV per cell
Crystal system   orthorhombic

Most stable: i. Least stable: ii.

i:
Compound: AgSb2Cl
Source: Alexandria via LeMat-Bulk
Functional: PBE
Structure: relaxed

abc: 6.921 6.921 6.921
angles: 152.97 138.28 50.42
Positions (direct):
Ag 0.000 0.000 0.000
Sb 0.566 0.566 0.000
Sb 0.786 0.286 0.500
Cl 0.287 0.787 0.500

Properties
Density of states at the Fermi level   1.8 states/eV per cell
Crystal system   orthorhombic

ii:
Compound: AgSb2Cl
Source: Alexandria via LeMat-Bulk
Functional: PBE
Structure: relaxed

abc: 3.336 3.336 9.762
angles: 90.00 90.00 119.15
Positions (direct):
Ag 0.000 0.000 0.000
Sb 0.500 0.500 0.247
Sb 0.500 0.500 0.753
Cl 0.000 0.000 0.500

Properties
Density of states at the Fermi level   1.4 states/eV per cell
Crystal system   orthorhombic

Most stable: i. Least stable: ii.

i:
Compound: AgSb2Cl
Source: Alexandria via LeMat-Bulk
Functional: PBE
Structure: relaxed

abc: 3.697 3.697 7.490
angles: 90.00 90.00 90.00
Positions (direct):
Ag 0.000 0.000 0.000
Sb 0.000 0.000 0.540
Sb 0.500 0.500 0.749
Cl 0.500 0.500 0.193

Properties
Density of states at the Fermi level   0.6 states/eV per cell
Crystal system   tetragonal

ii:
Compound: AgSb2Cl
Source: Alexandria via LeMat-Bulk
Functional: PBE
Structure: relaxed

abc: 3.502 3.502 8.857
angles: 90.00 90.00 110.76
Positions (direct):
Ag 0.000 0.000 0.000
Sb 0.000 0.000 0.501
Sb 0.500 0.500 0.754
Cl 0.500 0.500 0.185

Properties
Density of states at the Fermi level   1.0 states/eV per cell
Crystal system   orthorhombic

iii:
Compound: AgSb2Cl
Source: Alexandria via LeMat-Bulk
Functional: PBE
Structure: relaxed

abc: 5.134 5.134 5.134
angles: 60.00 60.00 60.00
Positions (direct):
Ag 0.000 0.000 0.000
Sb 0.250 0.250 0.250
Sb 0.500 0.500 0.500
Cl 0.750 0.750 0.750

Properties
Density of states at the Fermi level   1.3 states/eV per cell
Crystal system   cubic

iv:
Compound: AgSb2Cl
Source: Alexandria via LeMat-Bulk
Functional: PBE
Structure: relaxed

abc: 5.677 5.677 3.228
angles: 90.46 90.46 90.12
Positions (direct):
Ag 0.000 0.000 0.000
Sb 0.000 0.500 0.000
Sb 0.500 0.000 0.000
Cl 0.500 0.500 0.000

Properties
Density of states at the Fermi level   2.1 states/eV per cell
Crystal system   monoclinic

Most stable: ii. Least stable: iii.

i:
Compound: AgSb2Cl
Source: Alexandria via LeMat-Bulk
Functional: PBE
Structure: relaxed

abc: 3.259 3.259 9.226
angles: 90.00 90.00 90.00
Positions (direct):
Ag 0.000 0.000 0.000
Sb 0.000 0.000 0.495
Sb 0.500 0.500 0.774
Cl 0.500 0.500 0.171

Properties
Density of states at the Fermi level   1.7 states/eV per cell
Crystal system   tetragonal

ii:
Compound: AgSb2Cl
Source: Alexandria via LeMat-Bulk
Functional: PBE
Structure: relaxed

abc: 8.235 8.235 8.235
angles: 155.24 151.69 37.96
Positions (direct):
Ag 0.000 0.000 0.000
Sb 0.201 0.701 0.500
Sb 0.799 0.299 0.500
Cl 0.500 0.500 0.000

Properties
Density of states at the Fermi level   1.2 states/eV per cell
Crystal system   orthorhombic

Most stable: ii. Least stable: i.

i:
Compound: AgSb2Cl
Source: Alexandria via LeMat-Bulk
Functional: PBE
Structure: relaxed

abc: 9.184 9.184 9.184
angles: 22.30 22.30 22.30
Positions (direct):
Ag 0.000 0.000 0.000
Sb 0.256 0.256 0.256
Sb 0.744 0.744 0.744
Cl 0.500 0.500 0.500

Properties
Density of states at the Fermi level   2.0 states/eV per cell
Crystal system   trigonal

ii:
Compound: AgSb2Cl
Source: Alexandria via LeMat-Bulk
Functional: PBE
Structure: relaxed

abc: 4.549 4.549 7.878
angles: 95.56 95.56 41.81
Positions (direct):
Ag 0.000 0.000 0.000
Sb 0.311 0.311 0.199
Sb 0.689 0.689 0.801
Cl 0.500 0.500 0.500

Properties
Density of states at the Fermi level   1.3 states/eV per cell
Crystal system   monoclinic

iii:
Compound: AgSb2Cl
Source: Alexandria via LeMat-Bulk
Functional: PBE
Structure: relaxed

abc: 3.327 6.189 5.412
angles: 90.00 107.64 90.00
Positions (direct):
Ag 0.000 0.000 0.000
Sb 0.721 0.000 0.451
Sb 0.726 0.500 0.458
Cl 0.969 0.500 0.942

Properties
Density of states at the Fermi level   1.6 states/eV per cell
Crystal system   monoclinic

Most stable: iii. Least stable: i.

i:
Compound: AgSb2Cl
Source: Alexandria via LeMat-Bulk
Functional: PBE
Structure: relaxed

abc: 4.116 4.116 6.648
angles: 90.00 90.00 90.00
Positions (direct):
Ag 0.000 0.000 0.000
Sb 0.000 0.500 0.500
Sb 0.500 0.000 0.500
Cl 0.500 0.500 0.000

Properties
Density of states at the Fermi level   2.7 states/eV per cell
Crystal system   tetragonal

ii:
Compound: AgSb2Cl
Source: Alexandria via LeMat-Bulk
Functional: PBE
Structure: relaxed

abc: 4.309 4.945 5.139
angles: 90.00 98.82 90.00
Positions (direct):
Ag 0.000 0.000 0.000
Sb 0.210 0.500 0.804
Sb 0.790 0.500 0.196
Cl 0.500 0.000 0.500

Properties
Density of states at the Fermi level   0.7 states/eV per cell
Crystal system   monoclinic

Most stable: ii. Least stable: i.